Crystalline ScTe2S at its relaxed geometry, computed with PBE.

Unit cell a=8.8822 b=8.8822 c=8.8822 alpha=141.91 beta=141.91 gamma=54.97
Last column: nearest neighbours and their distance in Å.
Sites, in units of the cell vectors:
Sc 0.0000 0.0000 0.0000  4 Te 2.87
Sc 0.7500 0.2500 0.5000  4 Te 2.87
Te 0.1334 0.6250 0.0084  2 S 2.82, 2 Sc 2.87
Te 0.3750 0.3834 0.5084  2 S 2.82, 2 Sc 2.87
Te 0.6166 0.1250 0.9916  2 S 2.82, 2 Sc 2.87
Te 0.8750 0.8666 0.4916  2 S 2.82, 2 Sc 2.87
S 0.2500 0.7500 0.5000  4 Te 2.82
S 0.5000 0.5000 0.0000  4 Te 2.82

Properties
Uncorrected formation energy   -0.13 eV per atom



Crystalline Mn2TcHg at its relaxed geometry, computed with PBE.

Unit cell a=5.2631 b=5.2631 c=5.2631 alpha=146.45 beta=129.71 gamma=61.82
Last column: nearest neighbours and their distance in Å.
Sites, in units of the cell vectors:
Mn 0.0000 0.0000 0.0000  2 Tc 2.49, 2 Mn 2.67, 4 Hg 2.70
Mn 0.7570 0.2570 0.5000  2 Mn 2.67, 4 Tc 2.73, 2 Hg 2.83
Tc 0.2187 0.7187 0.5000  6 Mn 2.49-2.73
Hg 0.4928 0.4928 0.0000  6 Mn 2.70-2.83, 4 Tc 2.90-3.03

Properties
E_form   0.44 eV per atom



Crystalline U2As3Se at its relaxed geometry, computed with PBE.

Unit cell a=4.0045 b=4.0045 c=8.0530 alpha=90.00 beta=90.00 gamma=90.00
Last column: nearest neighbours and their distance in Å.
Sites, in units of the cell vectors:
U 0.0000 0.5000 0.2179  7 As 2.90-3.03, 2 Se 3.03
U 0.5000 0.0000 0.7821  7 As 2.90-3.03, 2 Se 3.03
As 0.0000 0.5000 0.8577  5 U 2.90
As 0.5000 0.0000 0.1423  5 U 2.90
As 0.5000 0.5000 0.5000  4 Se 2.83, 4 U 3.03
Se 0.0000 0.0000 0.5000  4 As 2.83, 4 U 3.03

Properties
ΔE to the lowest computed polymorph   0.124 eV per atom
Uncorrected formation energy   -0.69 eV per atom



Crystalline TcSn2H2 at its relaxed geometry, computed with PBE.

Unit cell a=6.9043 b=6.9043 c=6.9043 alpha=153.00 beta=153.00 gamma=38.56
Last column: nearest neighbours and their distance in Å.
Sites, in units of the cell vectors:
Tc 0.0000 0.0000 0.0000  8 Sn 2.83
Sn 0.3711 0.3711 0.0000  4 H 2.26
Sn 0.6289 0.6289 0.0000  4 H 2.26
H 0.2500 0.7500 0.5000  4 Sn 2.26, 4 H 2.28
H 0.7500 0.2500 0.5000  4 Sn 2.26, 4 H 2.28

Properties
ΔE to the lowest computed polymorph   0.042 eV per atom



Crystalline Y3TmO6 at its relaxed geometry, computed with PBE.

Unit cell a=6.7160 b=6.7160 c=6.7160 alpha=91.61 beta=91.61 gamma=91.61
Last column: nearest neighbours and their distance in Å.
Sites, in units of the cell vectors:
Y 0.0571 0.5644 0.7515  6 O 2.24-2.38
Y 0.2485 0.9429 0.4356  6 O 2.24-2.38
Y 0.4356 0.2485 0.9429  6 O 2.24-2.38
Y 0.5644 0.7515 0.0571  6 O 2.24-2.38
Y 0.7515 0.0571 0.5644  6 O 2.24-2.38
Y 0.9429 0.4356 0.2485  6 O 2.24-2.38
Tm 0.0000 0.0000 0.0000  6 O 2.21
Tm 0.5000 0.5000 0.5000  6 O 2.25
O 0.0323 0.9007 0.6859  1 Tm 2.21, 3 Y 2.27-2.32
O 0.0993 0.3141 0.9677  1 Tm 2.21, 3 Y 2.27-2.32
O 0.1873 0.5921 0.4299  3 Y 2.24-2.38, 1 Tm 2.25
O 0.3141 0.9677 0.0993  1 Tm 2.21, 3 Y 2.27-2.32
O 0.4079 0.5701 0.8127  3 Y 2.24-2.38, 1 Tm 2.25
O 0.4299 0.1873 0.5921  3 Y 2.24-2.38, 1 Tm 2.25
O 0.5701 0.8127 0.4079  3 Y 2.24-2.38, 1 Tm 2.25
O 0.5921 0.4299 0.1873  3 Y 2.24-2.38, 1 Tm 2.25
O 0.6859 0.0323 0.9007  1 Tm 2.21, 3 Y 2.27-2.32
O 0.8127 0.4079 0.5701  3 Y 2.24-2.38, 1 Tm 2.25
O 0.9007 0.6859 0.0323  1 Tm 2.21, 3 Y 2.27-2.32
O 0.9677 0.0993 0.3141  1 Tm 2.21, 3 Y 2.27-2.32

Properties
Uncorrected formation energy   -3.57 eV per atom



Crystalline Ce2Hg2Pd7 at its relaxed geometry, computed with PBE.

Unit cell a=6.6903 b=6.6903 c=5.4459 alpha=109.84 beta=109.84 gamma=91.03
Last column: nearest neighbours and their distance in Å.
Sites, in units of the cell vectors:
Ce 0.2000 0.8000 0.0000  4 Pd 2.76-2.93
Ce 0.8000 0.2000 0.0000  4 Pd 2.76-2.93
Hg 0.3502 0.3502 0.5982  8 Pd 2.78-3.09
Hg 0.6498 0.6498 0.4018  8 Pd 2.78-3.09
Pd 0.0000 0.0000 0.5000  6 Pd 2.72-2.80
Pd 0.0716 0.5850 0.3228  5 Pd 2.72-2.94, 2 Ce 2.76-2.93, 2 Hg 2.83-3.01
Pd 0.2750 0.2750 0.0329  3 Hg 2.78-3.09, 5 Pd 2.80-2.88
Pd 0.4150 0.9284 0.6772  5 Pd 2.72-2.94, 2 Ce 2.76-2.93, 2 Hg 2.83-3.01
Pd 0.5850 0.0716 0.3228  5 Pd 2.72-2.94, 2 Ce 2.76-2.93, 2 Hg 2.83-3.01
Pd 0.7250 0.7250 0.9671  3 Hg 2.78-3.09, 5 Pd 2.80-2.88
Pd 0.9284 0.4150 0.6772  5 Pd 2.72-2.94, 2 Ce 2.76-2.93, 2 Hg 2.83-3.01

Properties
E_form   -0.50 eV per atom



For the records above, the corresponding total magnetization values read 0.00; 5.09; 3.38; 0.00; 0.00; 0.99 μB/cell.
For the records above, the corresponding DOS at the Fermi energy values read 5.1; 4.2; 10.8; 3.2; 0.0; 13.3 states/eV per cell.